1:
Here is crystalline YCdTe2Ir at its relaxed geometry from Alexandria. Energies are from PBE-GGA.

```
YCdTe2Ir
1.0
5.764 0.000 0.000
0.000 5.764 0.000
0.000 0.000 5.910
Y Cd Te Ir
1 1 2 1
direct
0.000 0.000 0.000
0.000 0.000 0.500
0.000 0.500 0.000
0.500 0.000 0.000
0.500 0.500 0.500
```

=====

2:
Here is crystalline YCdTe2Ir at its relaxed geometry from Alexandria. Energies are from PBE-GGA.

```
YCdTe2Ir
1.0
5.348 0.000 0.000
0.000 5.348 0.000
0.000 0.000 5.595
Y Cd Te Ir
1 1 2 1
direct
0.000 0.000 0.000
0.000 0.000 0.500
0.000 0.500 0.500
0.500 0.000 0.500
0.500 0.500 0.000
```

=====

1 (102 meV per atom below the next structure)

=====

1:
Here is crystalline TiCd3Ir at its relaxed geometry from Alexandria. Energies are from PBE-GGA.

```
TiCd3Ir
1.0
5.098 0.000 0.000
0.000 5.098 0.000
0.000 0.000 5.098
Ti Cd Ir
1 3 1
direct
0.000 0.000 0.000
0.000 0.500 0.500
0.500 0.000 0.500
0.500 0.500 0.000
0.500 0.500 0.500
```

=====

2:
Here is crystalline TiCd3Ir at its relaxed geometry from Alexandria. Energies are from PBE-GGA.

```
TiCd3Ir
1.0
5.162 0.000 0.000
0.000 5.162 0.000
0.000 0.000 5.162
Ti Cd Ir
1 3 1
direct
0.000 0.000 0.000
0.000 0.000 0.500
0.000 0.500 0.000
0.500 0.000 0.000
0.500 0.500 0.500
```

=====

1 (774 meV per atom below the next structure)

=====

1:
Here is crystalline TlCd2Ir at its relaxed geometry from Alexandria. Energies are from PBE-GGA.

```
TlCd2Ir
1.0
-2.037 2.037 10.373
2.037 -2.037 10.373
2.037 2.037 -10.373
Tl Cd Ir
2 4 2
direct
0.000 0.000 0.000
0.750 0.250 0.500
0.144 0.625 0.019
0.375 0.394 0.519
0.606 0.125 0.981
0.875 0.856 0.481
0.250 0.750 0.500
0.500 0.500 0.000
```

=====

2:
Here is crystalline TlCd2Ir at its relaxed geometry from Alexandria. Energies are from PBE-GGA.

```
TlCd2Ir
1.0
1.591 0.919 9.621
-1.591 0.919 9.621
0.000 -1.837 9.621
Tl Cd Ir
1 2 1
direct
0.000 0.000 0.000
0.240 0.240 0.240
0.760 0.760 0.760
0.500 0.500 0.500
```

=====

3:
Here is crystalline TlCd2Ir at its relaxed geometry from Alexandria. Energies are from PBE-GGA.

```
TlCd2Ir
1.0
-2.061 2.069 4.608
2.061 -2.069 4.608
2.061 2.069 -4.608
Tl Cd Ir
1 2 1
direct
0.000 0.000 0.000
0.251 0.751 0.500
0.749 0.249 0.500
0.500 0.500 0.000
```

=====

3 (52 meV per atom below the next structure)

=====

1:
Here is crystalline TlCdIr at its relaxed geometry from Alexandria. Energies are from PBE-GGA.

```
TlCdIr
1.0
-1.559 1.559 6.417
1.559 -1.559 6.417
1.559 1.559 -6.417
Tl Cd Ir
1 1 1
direct
0.000 0.000 0.000
0.712 0.712 0.000
0.350 0.350 0.000
```

=====

2:
Here is crystalline TlCdIr at its relaxed geometry from Alexandria. Energies are from PBE-GGA.

```
TlCdIr
1.0
4.695 0.000 0.000
-2.347 4.066 0.000
0.000 0.000 3.158
Tl Cd Ir
1 1 1
direct
0.000 0.000 0.000
0.667 0.333 0.498
0.333 0.667 0.997
```

=====

3:
Here is crystalline TlCdIr at its relaxed geometry from Alexandria. Energies are from PBE-GGA.

```
TlCdIr
1.0
-1.590 1.954 4.737
1.590 -1.954 4.737
1.590 1.954 -4.737
Tl Cd Ir
1 1 1
direct
0.000 0.000 0.000
0.312 0.312 0.000
0.662 0.662 0.000
```

=====

1 (13 meV per atom below the next structure)

=====

1:
Here is crystalline Tm2CdIr at its relaxed geometry from Alexandria. Energies are from PBE-GGA.

```
Tm2CdIr
1.0
0.000 3.512 3.512
3.512 0.000 3.512
3.512 3.512 0.000
Tm Cd Ir
2 1 1
direct
0.250 0.250 0.250
0.750 0.750 0.750
0.000 0.000 0.000
0.500 0.500 0.500
```

=====

2:
Here is crystalline Tm2CdIr at its relaxed geometry from Alexandria. Energies are from PBE-GGA.

```
Tm2CdIr
1.0
1.984 1.146 7.706
-1.984 1.146 7.706
0.000 -2.291 7.706
Tm Cd Ir
2 1 1
direct
0.231 0.231 0.231
0.769 0.769 0.769
0.000 0.000 0.000
0.500 0.500 0.500
```

=====

3:
Here is crystalline Tm2CdIr at its relaxed geometry from Alexandria. Energies are from PBE-GGA.

```
Tm2CdIr
1.0
3.477 0.000 0.000
0.000 3.477 0.000
0.000 0.000 7.399
Tm Cd Ir
2 1 1
direct
0.000 0.000 0.216
0.000 0.000 0.784
0.500 0.500 0.500
0.500 0.500 0.000
```

=====

3 (74 meV per atom below the next structure)

=====

1:
Here is crystalline VCd2Ir at its relaxed geometry from Alexandria. Energies are from PBE-GGA.

```
VCd2Ir
1.0
0.000 3.272 3.272
3.272 0.000 3.272
3.272 3.272 0.000
V Cd Ir
1 2 1
direct
0.000 0.000 0.000
0.250 0.250 0.250
0.750 0.750 0.750
0.500 0.500 0.500
```

=====

2:
Here is crystalline VCd2Ir at its relaxed geometry from Alexandria. Energies are from PBE-GGA.

```
VCd2Ir
1.0
-3.875 3.875 2.640
3.875 -3.875 2.640
3.875 3.875 -2.640
V Cd Ir
2 4 2
direct
0.000 0.000 0.000
0.750 0.250 0.500
0.147 0.625 0.022
0.375 0.397 0.522
0.603 0.125 0.978
0.875 0.853 0.478
0.250 0.750 0.500
0.500 0.500 0.000
```

=====

1 (316 meV per atom below the next structure)